[1]
PBE-GGA PrMnNiGe2, relaxed; magnetic moment = 3.54 Bohr magnetons per cell; energy relative to the elements = -560 meV/atom; total energy = -31.766 eV/cell; space-group type = I-4m2 (119)
1.0
-2.082 2.082 5.188
2.082 -2.082 5.188
2.082 2.082 -5.188
Pr Mn Ni Ge
1 1 1 2
Cartesian
0.000 0.000 0.000 Pr
0.000 2.082 2.594 Mn
2.082 0.000 2.594 Ni
0.000 0.000 3.883 Ge
0.000 0.000 6.493 Ge

***

[2]
PBE-GGA Ac2LaHg, relaxed; magnetic moment = 0.00 Bohr magnetons per cell; energy relative to the elements = -226 meV/atom; total energy = -14.351 eV/cell; space-group type = P4/mmm (123)
1.0
3.987 0.000 0.000
0.000 3.987 0.000
0.000 0.000 9.441
Ac La Hg
2 1 1
Cartesian
0.000 0.000 2.065 Ac
0.000 0.000 7.376 Ac
1.994 1.994 4.721 La
1.994 1.994 0.000 Hg

***

[3]
PBE-GGA KSc2Rh, relaxed; magnetic moment = 0.00 Bohr magnetons per cell; energy relative to the elements = 404 meV/atom; total energy = -19.497 eV/cell; space-group type = R-3m (166)
1.0
1.621 0.936 11.424
-1.621 0.936 11.424
0.000 -1.871 11.424
K Sc Rh
1 2 1
Cartesian
0.000 0.000 0.000 K
0.000 0.000 14.792 Sc
0.000 0.000 19.479 Sc
0.000 0.000 17.136 Rh

***

[4]
PBE-GGA Sr2Nd4Bi3O2, relaxed; magnetic moment = 0.00 Bohr magnetons per cell; energy relative to the elements, uncorrected = -151 kJ/mol of atoms; total energy = -61.222 eV/cell; space-group type = I4/mmm (139)
1.0
-2.454 2.454 13.363
2.454 -2.454 13.363
2.454 2.454 -13.363
Sr Nd Bi O
2 4 3 2
Cartesian
0.000 0.000 5.190 Sr
0.000 0.000 21.535 Sr
2.454 0.000 2.187 Nd
2.454 0.000 11.176 Nd
0.000 2.454 2.187 Nd
0.000 2.454 11.176 Nd
0.000 0.000 8.716 Bi
0.000 0.000 13.363 Bi
0.000 0.000 18.009 Bi
0.000 0.000 2.604 O
0.000 0.000 24.122 O

***

[5]
PBE-GGA KLi5, relaxed; magnetic moment = 0.00 Bohr magnetons per cell; energy relative to the elements = 109 meV/atom; total energy = -10.014 eV/cell; space-group type = F-43m (216)
1.0
0.000 4.382 4.382
4.382 0.000 4.382
4.382 4.382 0.000
K Li
1 5
Cartesian
0.000 0.000 0.000 K
3.304 3.304 3.304 Li
5.460 5.460 3.304 Li
5.460 3.304 5.460 Li
6.573 6.573 6.573 Li
3.304 5.460 5.460 Li

***

[6]
PBE-GGA K3InO, relaxed; magnetic moment = 0.91 Bohr magnetons per cell; energy relative to the elements, uncorrected = -43 kJ/mol of atoms; total energy = -13.200 eV/cell; space-group type = Pm-3m (221)
1.0
5.495 0.000 0.000
0.000 5.495 0.000
0.000 0.000 5.495
K In O
3 1 1
Cartesian
0.000 0.000 2.747 K
0.000 2.747 0.000 K
2.747 0.000 0.000 K
2.747 2.747 2.747 In
0.000 0.000 0.000 O

***

[7]
PBE-GGA Sm7Y2Sc2, relaxed; magnetic moment = 0.00 Bohr magnetons per cell; energy relative to the elements = 147 meV/atom; total energy = -57.013 eV/cell; space-group type = C2/m (12)
1.0
4.186 -5.400 0.000
4.186 5.400 0.000
-1.757 0.000 7.911
Sm Y Sc
7 2 2
Cartesian
0.000 0.000 0.000 Sm
1.069 2.362 6.490 Sm
0.831 0.000 3.856 Sm
5.546 2.362 1.421 Sm
1.069 -2.362 6.490 Sm
5.784 0.000 4.055 Sm
5.546 -2.362 1.421 Sm
3.193 0.000 1.433 Y
3.422 0.000 6.478 Y
3.307 2.289 3.955 Sc
3.307 -2.289 3.955 Sc

***

[8]
PBE-GGA K5Pb, relaxed; magnetic moment = 0.00 Bohr magnetons per cell; energy relative to the elements = 132 meV/atom; total energy = -8.405 eV/cell; space-group type = F-43m (216)
1.0
0.000 5.441 5.441
5.441 0.000 5.441
5.441 5.441 0.000
K Pb
5 1
Cartesian
0.000 0.000 0.000 K
6.780 4.103 4.103 K
4.103 6.780 4.103 K
4.103 4.103 6.780 K
6.780 6.780 6.780 K
2.721 2.721 2.721 Pb